10
Lattice="-2.055 -1.775 -5.076 2.459 -4.447 -2.705 -2.777 -5.029 -0.382" Properties=species:S:1:pos:R:3 comment="Eu2CoWO6 PBE+U relaxed" e_tot_ev_per_atom=-8.372 pbc="T T T"
O -0.734 -7.632 -3.563
O -0.358 -5.936 -6.010
O -3.086 -6.239 -4.799
O 0.713 -5.011 -3.364
O -1.639 -3.619 -4.600
O -2.015 -5.314 -2.154
W 0.000 0.000 0.000
Eu -1.780 -8.438 -6.123
Eu -0.593 -2.813 -2.041
Co -1.187 -5.625 -4.082